Arrangement a

{
  "formula": "MgTl2Zn",
  "functional": "PBE-GGA",
  "state": "optimized geometry",
  "cell": [[3.522, 0.000, 0.000], [0.000, 3.522, 0.000], [0.000, 0.000, 7.862]],
  "species": ["Mg", "Tl", "Tl", "Zn"],
  "fractional_positions": [[0.000, 0.000, 0.000], [0.500, 0.500, 0.263], [0.500, 0.500, 0.737], [0.000, 0.000, 0.500]],
  "total_magnetization_mub_per_fu": 0.0
}



Arrangement b

{
  "formula": "MgTl2Zn",
  "functional": "PBE-GGA",
  "state": "optimized geometry",
  "cell": [[3.914, 0.000, 0.000], [0.000, 5.374, 0.000], [0.000, 0.000, 9.560]],
  "species": ["Mg", "Mg", "Tl", "Tl", "Tl", "Tl", "Zn", "Zn"],
  "fractional_positions": [[0.000, 0.000, 0.000], [0.500, 0.500, 0.000], [0.000, 0.500, 0.263], [0.000, 0.500, 0.737], [0.500, 0.000, 0.263], [0.500, 0.000, 0.737], [0.000, 0.000, 0.500], [0.500, 0.500, 0.500]],
  "total_magnetization_mub_per_fu": 0.0
}



Arrangement c

{
  "formula": "MgTl2Zn",
  "functional": "PBE-GGA",
  "state": "optimized geometry",
  "cell": [[3.679, 0.000, 0.000], [0.000, 4.878, 0.000], [0.000, 0.000, 5.572]],
  "species": ["Mg", "Tl", "Tl", "Zn"],
  "fractional_positions": [[0.000, 0.000, 0.000], [0.000, 0.500, 0.500], [0.500, 0.500, 0.000], [0.500, 0.000, 0.500]],
  "total_magnetization_mub_per_fu": 0.0
}



Arrangement d

{
  "formula": "MgTl2Zn",
  "functional": "PBE-GGA",
  "state": "optimized geometry",
  "cell": [[12.135, 0.000, 0.000], [0.000, 3.594, 0.000], [-1.922, 0.000, 4.525]],
  "species": ["Mg", "Mg", "Tl", "Tl", "Tl", "Tl", "Zn", "Zn"],
  "fractional_positions": [[0.000, 0.000, 0.000], [0.500, 0.500, 0.000], [0.057, 0.500, 0.555], [0.281, 0.500, 0.271], [0.557, 0.000, 0.555], [0.781, 0.000, 0.271], [0.291, 0.000, 0.779], [0.791, 0.500, 0.779]],
  "total_magnetization_mub_per_fu": 0.0
}



Energies, relative to the best one, in meV per atom: arrangement a 34; arrangement b 52; arrangement c 40; arrangement d 0.



Arrangement a

{
  "formula": "MgTl3Zn",
  "functional": "PBE-GGA",
  "state": "optimized geometry",
  "cell": [[5.391, 0.000, 0.000], [0.000, 5.391, 0.000], [0.000, 0.000, 5.391]],
  "species": ["Mg", "Tl", "Tl", "Tl", "Zn"],
  "fractional_positions": [[0.000, 0.000, 0.000], [0.000, 0.500, 0.500], [0.500, 0.000, 0.500], [0.500, 0.500, 0.000], [0.500, 0.500, 0.500]],
  "total_magnetization_mub_per_fu": 0.0
}



Arrangement b

{
  "formula": "MgTl3Zn",
  "functional": "PBE-GGA",
  "state": "optimized geometry",
  "cell": [[5.556, 0.000, 0.000], [0.000, 5.556, 0.000], [0.000, 0.000, 5.556]],
  "species": ["Mg", "Tl", "Tl", "Tl", "Zn"],
  "fractional_positions": [[0.000, 0.000, 0.000], [0.000, 0.000, 0.500], [0.000, 0.500, 0.000], [0.500, 0.000, 0.000], [0.500, 0.500, 0.500]],
  "total_magnetization_mub_per_fu": 0.0
}



Energies, relative to the best one, in meV per atom: arrangement a 0; arrangement b 104.



Arrangement a

{
  "formula": "MgTl2Zn2",
  "functional": "PBE-GGA",
  "state": "optimized geometry",
  "cell": [[8.233, 0.000, 0.000], [0.000, 8.233, 0.000], [0.000, 0.000, 3.557]],
  "species": ["Mg", "Mg", "Tl", "Tl", "Tl", "Tl", "Zn", "Zn", "Zn", "Zn"],
  "fractional_positions": [[0.000, 0.000, 0.000], [0.500, 0.500, 0.000], [0.156, 0.344, 0.000], [0.344, 0.844, 0.000], [0.656, 0.156, 0.000], [0.844, 0.656, 0.000], [0.143, 0.643, 0.500], [0.357, 0.143, 0.500], [0.643, 0.857, 0.500], [0.857, 0.357, 0.500]],
  "total_magnetization_mub_per_fu": 0.0
}



Arrangement b

{
  "formula": "MgTl2Zn2",
  "functional": "PBE-GGA",
  "state": "optimized geometry",
  "cell": [[3.653, 0.000, 0.000], [0.000, 3.653, 0.000], [0.000, 0.000, 17.598]],
  "species": ["Mg", "Mg", "Tl", "Tl", "Tl", "Tl", "Zn", "Zn", "Zn", "Zn"],
  "fractional_positions": [[0.000, 0.000, 0.000], [0.500, 0.500, 0.500], [0.000, 0.000, 0.392], [0.000, 0.000, 0.608], [0.500, 0.500, 0.108], [0.500, 0.500, 0.892], [0.000, 0.500, 0.250], [0.000, 0.500, 0.750], [0.500, 0.000, 0.250], [0.500, 0.000, 0.750]],
  "total_magnetization_mub_per_fu": 0.0
}



Energies, relative to the best one, in meV per atom: arrangement a 81; arrangement b 0.



Arrangement a

{
  "formula": "Mg5TlZn",
  "functional": "PBE-GGA",
  "state": "optimized geometry",
  "cell": [[4.209, -6.174, 0.000], [4.209, 6.174, 0.000], [-3.524, 0.000, 6.360]],
  "species": ["Mg", "Mg", "Mg", "Mg", "Mg", "Mg", "Mg", "Mg", "Mg", "Mg", "Tl", "Tl", "Zn", "Zn"],
  "fractional_positions": [[0.077, 0.377, 0.852], [0.216, 0.784, 0.750], [0.246, 0.474, 0.337], [0.377, 0.077, 0.352], [0.474, 0.246, 0.837], [0.526, 0.754, 0.163], [0.623, 0.923, 0.648], [0.754, 0.526, 0.663], [0.784, 0.216, 0.250], [0.923, 0.623, 0.148], [0.000, 0.000, 0.000], [0.000, 0.000, 0.500], [0.436, 0.564, 0.750], [0.564, 0.436, 0.250]],
  "total_magnetization_mub_per_fu": 0.0
}



Arrangement b

{
  "formula": "Mg5TlZn",
  "functional": "PBE-GGA",
  "state": "optimized geometry",
  "cell": [[4.542, 0.000, 0.000], [0.000, 4.542, 0.000], [0.000, 0.000, 7.829]],
  "species": ["Mg", "Mg", "Mg", "Mg", "Mg", "Tl", "Zn"],
  "fractional_positions": [[0.000, 0.000, 0.000], [0.000, 0.500, 0.297], [0.000, 0.500, 0.703], [0.500, 0.000, 0.297], [0.500, 0.000, 0.703], [0.500, 0.500, 0.000], [0.500, 0.500, 0.500]],
  "total_magnetization_mub_per_fu": 0.0
}



Energies, relative to the best one, in meV per atom: arrangement a 61; arrangement b 0.



Arrangement a

{
  "formula": "Mg7Tl2Zn",
  "functional": "PBE-GGA",
  "state": "optimized geometry",
  "cell": [[4.816, 0.000, 0.000], [-2.408, 4.171, 0.000], [0.000, 0.000, 11.865]],
  "species": ["Mg", "Mg", "Mg", "Mg", "Mg", "Mg", "Mg", "Tl", "Tl", "Zn"],
  "fractional_positions": [[0.000, 0.000, 0.000], [0.000, 0.000, 0.246], [0.000, 0.000, 0.514], [0.333, 0.667, 0.134], [0.333, 0.667, 0.676], [0.667, 0.333, 0.342], [0.667, 0.333, 0.856], [0.000, 0.000, 0.758], [0.333, 0.667, 0.415], [0.667, 0.333, 0.099]],
  "total_magnetization_mub_per_fu": 0.0
}



Arrangement b

{
  "formula": "Mg7Tl2Zn",
  "functional": "PBE-GGA",
  "state": "optimized geometry",
  "cell": [[0.000, 5.224, 5.224], [5.224, 0.000, 5.224], [5.224, 5.224, 0.000]],
  "species": ["Mg", "Mg", "Mg", "Mg", "Mg", "Mg", "Mg", "Tl", "Tl", "Zn"],
  "fractional_positions": [[0.000, 0.000, 0.000], [0.260, 0.260, 0.740], [0.260, 0.740, 0.260], [0.260, 0.740, 0.740], [0.740, 0.260, 0.260], [0.740, 0.260, 0.740], [0.740, 0.740, 0.260], [0.250, 0.250, 0.250], [0.750, 0.750, 0.750], [0.500, 0.500, 0.500]],
  "total_magnetization_mub_per_fu": 0.0
}



Energies, relative to the best one, in meV per atom: arrangement a 0; arrangement b 270.



Arrangement a

{
  "formula": "Mg5Tl2Zn",
  "functional": "PBE-GGA",
  "state": "optimized geometry",
  "cell": [[4.877, 0.000, 0.000], [0.000, 4.877, 0.000], [0.000, 0.000, 15.244]],
  "species": ["Mg", "Mg", "Mg", "Mg", "Mg", "Mg", "Mg", "Mg", "Mg", "Mg", "Tl", "Tl", "Tl", "Tl", "Zn", "Zn"],
  "fractional_positions": [[0.000, 0.000, 0.000], [0.000, 0.500, 0.116], [0.000, 0.500, 0.384], [0.000, 0.500, 0.616], [0.000, 0.500, 0.884], [0.500, 0.000, 0.116], [0.500, 0.000, 0.384], [0.500, 0.000, 0.616], [0.500, 0.000, 0.884], [0.500, 0.500, 0.500], [0.000, 0.000, 0.248], [0.000, 0.000, 0.752], [0.500, 0.500, 0.252], [0.500, 0.500, 0.748], [0.000, 0.000, 0.500], [0.500, 0.500, 0.000]],
  "total_magnetization_mub_per_fu": 0.0
}



Arrangement b

{
  "formula": "Mg5Tl2Zn",
  "functional": "PBE-GGA",
  "state": "optimized geometry",
  "cell": [[4.760, 0.000, 0.000], [-2.380, 4.122, 0.000], [0.000, 0.000, 19.543]],
  "species": ["Mg", "Mg", "Mg", "Mg", "Mg", "Mg", "Mg", "Mg", "Mg", "Mg", "Tl", "Tl", "Tl", "Tl", "Zn", "Zn"],
  "fractional_positions": [[0.000, 0.000, 0.168], [0.000, 0.000, 0.332], [0.000, 0.000, 0.668], [0.000, 0.000, 0.832], [0.333, 0.667, 0.050], [0.333, 0.667, 0.250], [0.333, 0.667, 0.450], [0.667, 0.333, 0.550], [0.667, 0.333, 0.750], [0.667, 0.333, 0.950], [0.333, 0.667, 0.603], [0.333, 0.667, 0.897], [0.667, 0.333, 0.103], [0.667, 0.333, 0.397], [0.333, 0.667, 0.750], [0.667, 0.333, 0.250]],
  "total_magnetization_mub_per_fu": 0.0
}



Energies, relative to the best one, in meV per atom: arrangement a 0; arrangement b 13.



Arrangement a

{
  "formula": "MgZrTlZn",
  "functional": "PBE-GGA",
  "state": "optimized geometry",
  "cell": [[6.940, 0.000, 0.000], [0.000, 6.940, 0.000], [0.000, 0.000, 6.940]],
  "species": ["Mg", "Mg", "Mg", "Mg", "Zr", "Zr", "Zr", "Zr", "Tl", "Tl", "Tl", "Tl", "Zn", "Zn", "Zn", "Zn"],
  "fractional_positions": [[0.000, 0.000, 0.000], [0.000, 0.500, 0.500], [0.500, 0.000, 0.500], [0.500, 0.500, 0.000], [0.000, 0.000, 0.500], [0.000, 0.500, 0.000], [0.500, 0.000, 0.000], [0.500, 0.500, 0.500], [0.250, 0.250, 0.250], [0.250, 0.750, 0.750], [0.750, 0.250, 0.750], [0.750, 0.750, 0.250], [0.250, 0.250, 0.750], [0.250, 0.750, 0.250], [0.750, 0.250, 0.250], [0.750, 0.750, 0.750]],
  "total_magnetization_mub_per_fu": 0.0
}



Arrangement b

{
  "formula": "MgZrTlZn",
  "functional": "PBE-GGA",
  "state": "optimized geometry",
  "cell": [[4.191, 0.000, 0.000], [0.000, 4.386, 0.000], [0.000, 0.000, 4.427]],
  "species": ["Mg", "Zr", "Tl", "Zn"],
  "fractional_positions": [[0.000, 0.000, 0.000], [0.000, 0.500, 0.500], [0.500, 0.500, 0.000], [0.500, 0.000, 0.500]],
  "total_magnetization_mub_per_fu": 0.0
}



Energies, relative to the best one, in meV per atom: arrangement a 180; arrangement b 0.



Arrangement a

{
  "formula": "Mg2Zr2Tl",
  "functional": "PBE-GGA",
  "state": "optimized geometry",
  "cell": [[7.986, 0.000, 0.000], [0.000, 7.986, 0.000], [0.000, 0.000, 3.509]],
  "species": ["Mg", "Mg", "Mg", "Mg", "Zr", "Zr", "Zr", "Zr", "Tl", "Tl"],
  "fractional_positions": [[0.122, 0.378, 0.000], [0.378, 0.878, 0.000], [0.622, 0.122, 0.000], [0.878, 0.622, 0.000], [0.175, 0.675, 0.500], [0.325, 0.175, 0.500], [0.675, 0.825, 0.500], [0.825, 0.325, 0.500], [0.000, 0.000, 0.000], [0.500, 0.500, 0.000]],
  "total_magnetization_mub_per_fu": 0.0
}



Arrangement b

{
  "formula": "Mg2Zr2Tl",
  "functional": "PBE-GGA",
  "state": "optimized geometry",
  "cell": [[8.186, 0.000, 0.000], [0.000, 8.186, 0.000], [0.000, 0.000, 3.578]],
  "species": ["Mg", "Mg", "Mg", "Mg", "Zr", "Zr", "Zr", "Zr", "Tl", "Tl"],
  "fractional_positions": [[0.165, 0.335, 0.000], [0.335, 0.835, 0.000], [0.665, 0.165, 0.000], [0.835, 0.665, 0.000], [0.133, 0.633, 0.500], [0.367, 0.133, 0.500], [0.633, 0.867, 0.500], [0.867, 0.367, 0.500], [0.000, 0.000, 0.500], [0.500, 0.500, 0.500]],
  "total_magnetization_mub_per_fu": 0.0
}



Energies, relative to the best one, in meV per atom: arrangement a 0; arrangement b 75.



Arrangement a

{
  "formula": "Tm3Mg2",
  "functional": "PBE-GGA",
  "state": "optimized geometry",
  "cell": [[3.573, 0.000, 0.000], [0.000, 3.573, 0.000], [0.000, 0.000, 21.433]],
  "species": ["Tm", "Tm", "Tm", "Tm", "Tm", "Tm", "Mg", "Mg", "Mg", "Mg"],
  "fractional_positions": [[0.000, 0.000, 0.000], [0.000, 0.000, 0.190], [0.000, 0.000, 0.389], [0.000, 0.000, 0.611], [0.000, 0.000, 0.810], [0.500, 0.500, 0.500], [0.500, 0.500, 0.095], [0.500, 0.500, 0.288], [0.500, 0.500, 0.712], [0.500, 0.500, 0.905]],
  "total_magnetization_mub_per_fu": 0.0
}



Arrangement b

{
  "formula": "Tm3Mg2",
  "functional": "PBE-GGA",
  "state": "optimized geometry",
  "cell": [[4.427, -5.774, 0.000], [4.427, 5.774, 0.000], [-1.316, 0.000, 5.611]],
  "species": ["Tm", "Tm", "Tm", "Tm", "Tm", "Tm", "Mg", "Mg", "Mg", "Mg"],
  "fractional_positions": [[0.000, 0.500, 0.000], [0.078, 0.241, 0.483], [0.241, 0.078, 0.983], [0.500, 0.000, 0.500], [0.759, 0.922, 0.017], [0.922, 0.759, 0.517], [0.319, 0.681, 0.750], [0.436, 0.564, 0.250], [0.564, 0.436, 0.750], [0.681, 0.319, 0.250]],
  "total_magnetization_mub_per_fu": 0.0
}



Energies, relative to the best one, in meV per atom: arrangement a 0; arrangement b 199.



Arrangement a

{
  "formula": "Tm3Mg",
  "functional": "PBE-GGA",
  "state": "optimized geometry",
  "cell": [[6.909, 0.000, 0.000], [-3.454, 5.983, 0.000], [0.000, 0.000, 5.505]],
  "species": ["Tm", "Tm", "Tm", "Tm", "Tm", "Tm", "Mg", "Mg"],
  "fractional_positions": [[0.169, 0.338, 0.250], [0.169, 0.831, 0.250], [0.338, 0.169, 0.750], [0.662, 0.831, 0.250], [0.831, 0.169, 0.750], [0.831, 0.662, 0.750], [0.333, 0.667, 0.750], [0.667, 0.333, 0.250]],
  "total_magnetization_mub_per_fu": 0.0
}



Arrangement b

{
  "formula": "Tm3Mg",
  "functional": "PBE-GGA",
  "state": "optimized geometry",
  "cell": [[3.509, 0.000, 0.000], [0.000, 3.509, 0.000], [0.000, 0.000, 9.267]],
  "species": ["Tm", "Tm", "Tm", "Mg"],
  "fractional_positions": [[0.000, 0.000, 0.000], [0.500, 0.500, 0.259], [0.500, 0.500, 0.741], [0.000, 0.000, 0.500]],
  "total_magnetization_mub_per_fu": 0.0
}



Energies, relative to the best one, in meV per atom: arrangement a 31; arrangement b 0.



Arrangement a

{
  "formula": "Tm2Mg3",
  "functional": "PBE-GGA",
  "state": "optimized geometry",
  "cell": [[3.338, 0.000, 0.000], [-1.669, 2.891, 0.000], [0.000, 0.000, 41.091]],
  "species": ["Tm", "Tm", "Tm", "Tm", "Tm", "Tm", "Mg", "Mg", "Mg", "Mg", "Mg", "Mg", "Mg", "Mg", "Mg"],
  "fractional_positions": [[0.000, 0.000, 0.201], [0.000, 0.000, 0.799], [0.333, 0.667, 0.466], [0.333, 0.667, 0.868], [0.667, 0.333, 0.132], [0.667, 0.333, 0.534], [0.000, 0.000, 0.000], [0.000, 0.000, 0.397], [0.000, 0.000, 0.603], [0.333, 0.667, 0.064], [0.333, 0.667, 0.270], [0.333, 0.667, 0.667], [0.667, 0.333, 0.333], [0.667, 0.333, 0.730], [0.667, 0.333, 0.936]],
  "total_magnetization_mub_per_fu": 0.0
}



Arrangement b

{
  "formula": "Tm2Mg3",
  "functional": "PBE-GGA",
  "state": "optimized geometry",
  "cell": [[3.716, 0.000, 0.000], [0.000, 3.716, 0.000], [0.000, 0.000, 18.579]],
  "species": ["Tm", "Tm", "Tm", "Tm", "Mg", "Mg", "Mg", "Mg", "Mg", "Mg"],
  "fractional_positions": [[0.000, 0.000, 0.102], [0.000, 0.000, 0.302], [0.000, 0.000, 0.698], [0.000, 0.000, 0.898], [0.000, 0.000, 0.500], [0.500, 0.500, 0.000], [0.500, 0.500, 0.202], [0.500, 0.500, 0.409], [0.500, 0.500, 0.591], [0.500, 0.500, 0.798]],
  "total_magnetization_mub_per_fu": 0.0
}



Energies, relative to the best one, in meV per atom: arrangement a 77; arrangement b 0.